Below is Ho2TlSe after structural relaxation, with properties calculated at the PBE-GGA level.

Calculated values
space-group type	No. 166
raw formation energy	-4.1	eV/f.u.
relative energy among the computed polymorphs	0	meV per atom

Lattice parameters (Å, degrees): 3.906 3.906 24.008 90.00 90.00 120.00
Fractional coordinates of all 12 atoms:
Ho 0.000 0.000 0.239
Ho 0.000 0.000 0.761
Ho 0.333 0.667 0.428
Ho 0.333 0.667 0.906
Ho 0.667 0.333 0.094
Ho 0.667 0.333 0.572
Tl 0.000 0.000 0.000
Tl 0.333 0.667 0.667
Tl 0.667 0.333 0.333
Se 0.000 0.000 0.500
Se 0.333 0.667 0.167
Se 0.667 0.333 0.833

---

Below is Ho4TlSe3 after structural relaxation, with properties calculated at the PBE-GGA level.

Calculated values
space-group type	No. 65
raw formation energy	-10.9	eV/f.u.

Lattice parameters (Å, degrees): 8.441 11.771 4.064 90.00 90.00 90.00
Fractional coordinates of all 16 atoms:
Ho 0.000 0.248 0.000
Ho 0.000 0.752 0.000
Ho 0.241 0.000 0.500
Ho 0.259 0.500 0.500
Ho 0.500 0.252 0.000
Ho 0.500 0.748 0.000
Ho 0.741 0.500 0.500
Ho 0.759 0.000 0.500
Tl 0.000 0.500 0.000
Tl 0.500 0.000 0.000
Se 0.000 0.000 0.000
Se 0.250 0.250 0.500
Se 0.250 0.750 0.500
Se 0.500 0.500 0.000
Se 0.750 0.250 0.500
Se 0.750 0.750 0.500

---

Below is HoTlSe after structural relaxation, with properties calculated at the PBE-GGA level.

Calculated values
space-group type	No. 59
raw formation energy	-2.6	eV/f.u.

Lattice parameters (Å, degrees): 3.969 5.500 8.068 90.00 90.00 90.00
Fractional coordinates of all 6 atoms:
Ho 0.250 0.250 0.161
Ho 0.750 0.750 0.839
Tl 0.250 0.250 0.563
Tl 0.750 0.750 0.437
Se 0.250 0.750 0.090
Se 0.750 0.250 0.910